Record 1
! Pm8Dy6Cd PBE relaxed; values from VASP
&SYSTEM
  ibrav = 0, nat = 15, ntyp = 3
/
ATOMIC_SPECIES
Pm 145.00 Pm.upf
Dy 162.50 Dy.upf
Cd 112.41 Cd.upf
CELL_PARAMETERS angstrom
-5.534 -2.663 1.843
4.759 -6.432 4.996
-2.576 8.135 4.021
ATOMIC_POSITIONS crystal
Pm 0.815 0.228 0.958
Pm 0.815 0.730 0.772
Pm 0.815 0.042 0.270
Pm 0.185 0.270 0.228
Pm 0.185 0.772 0.042
Pm 0.185 0.958 0.730
Pm 0.834 0.333 0.667
Pm 0.166 0.667 0.333
Dy 0.324 0.547 0.644
Dy 0.324 0.096 0.453
Dy 0.676 0.644 0.096
Dy 0.676 0.904 0.547
Dy 0.324 0.356 0.904
Dy 0.676 0.453 0.356
Cd 0.500 0.000 0.000
! * formation energy from the elements: 0.10 eV/atom
! * space group: P-3
! * magnetic moment: 0.00 μB/cell
! * volume: 494.1 Å³/f.u.

---

Record 2
! Pm6Dy8Cd PBE relaxed; values from VASP
&SYSTEM
  ibrav = 0, nat = 15, ntyp = 3
/
ATOMIC_SPECIES
Dy 162.50 Dy.upf
Pm 145.00 Pm.upf
Cd 112.41 Cd.upf
CELL_PARAMETERS angstrom
6.314 0.000 0.000
0.000 8.205 -4.737
0.000 0.000 9.474
ATOMIC_POSITIONS crystal
Dy 0.180 0.667 0.333
Dy 0.820 0.333 0.667
Dy 0.808 0.222 0.960
Dy 0.192 0.960 0.738
Dy 0.808 0.738 0.778
Dy 0.192 0.262 0.222
Dy 0.808 0.040 0.262
Dy 0.192 0.778 0.040
Pm 0.312 0.091 0.453
Pm 0.688 0.909 0.547
Pm 0.312 0.547 0.637
Pm 0.688 0.637 0.091
Pm 0.688 0.453 0.363
Pm 0.312 0.363 0.909
Cd 0.500 0.000 0.000
! * formation energy from the elements: 0.08 eV/atom
! * space group: P-3
! * magnetic moment: 0.00 μB/cell
! * volume: 490.8 Å³/f.u.

---

Record 3
! PmDyCd17 PBE relaxed; values from VASP
&SYSTEM
  ibrav = 0, nat = 19, ntyp = 3
/
ATOMIC_SPECIES
Cd 112.41 Cd.upf
Pm 145.00 Pm.upf
Dy 162.50 Dy.upf
CELL_PARAMETERS angstrom
7.601 0.073 0.979
0.870 7.552 0.979
0.082 0.073 7.664
ATOMIC_POSITIONS crystal
Cd 0.002 0.302 0.695
Cd 0.908 0.908 0.908
Cd 0.302 0.695 0.002
Cd 0.978 0.525 0.978
Cd 0.002 0.695 0.302
Cd 0.345 0.875 0.345
Cd 0.623 0.623 0.208
Cd 0.525 0.978 0.978
Cd 0.695 0.002 0.302
Cd 0.978 0.978 0.525
Cd 0.695 0.302 0.002
Cd 0.345 0.345 0.875
Cd 0.623 0.208 0.623
Cd 0.875 0.345 0.345
Cd 0.208 0.623 0.623
Cd 0.103 0.103 0.103
Cd 0.302 0.002 0.695
Pm 0.668 0.668 0.668
Dy 0.325 0.325 0.325
! * formation energy from the elements: -0.13 eV/atom
! * space group: R3m
! * magnetic moment: 0.00 μB/cell
! * volume: 438.4 Å³/f.u.

---

Record 4
! PmDyCd PBE relaxed; values from VASP
&SYSTEM
  ibrav = 0, nat = 3, ntyp = 3
/
ATOMIC_SPECIES
Cd 112.41 Cd.upf
Dy 162.50 Dy.upf
Pm 145.00 Pm.upf
CELL_PARAMETERS angstrom
-1.903 2.759 -1.478
-3.129 -1.626 0.994
2.680 2.605 5.949
ATOMIC_POSITIONS crystal
Cd 0.671 0.671 0.342
Dy 0.320 0.320 0.641
Pm 0.008 0.008 0.017
! * formation energy from the elements: -0.20 eV/atom
! * space group: I4mm
! * relative energy among the computed polymorphs: 0.0 kJ/mol of formula units
! * magnetic moment: 0.57 μB/cell
! * volume: 87.6 Å³/f.u.

---

Record 5
! Pm5Dy12Cd2 PBE relaxed; values from VASP
&SYSTEM
  ibrav = 0, nat = 19, ntyp = 3
/
ATOMIC_SPECIES
Dy 162.50 Dy.upf
Pm 145.00 Pm.upf
Cd 112.41 Cd.upf
CELL_PARAMETERS angstrom
-2.581 2.059 8.664
-1.296 -11.754 -2.554
6.791 4.784 0.886
ATOMIC_POSITIONS crystal
Dy 0.962 0.289 0.052
Dy 0.819 0.254 0.580
Dy 0.327 0.289 0.052
Dy 0.445 0.890 0.217
Dy 0.181 0.746 0.420
Dy 0.555 0.110 0.783
Dy 0.038 0.711 0.948
Dy 0.434 0.254 0.580
Dy 0.923 0.846 0.726
Dy 0.077 0.154 0.274
Dy 0.566 0.746 0.420
Dy 0.673 0.711 0.948
Pm 0.702 0.404 0.387
Pm 0.766 0.532 0.107
Pm 0.234 0.468 0.893
Pm 0.298 0.596 0.613
Pm 0.000 0.000 0.500
Cd 0.327 0.000 0.000
Cd 0.673 0.000 0.000
! * formation energy from the elements: 0.04 eV/atom
! * space group: C2/m
! * magnetic moment: 0.00 μB/cell
! * volume: 599.8 Å³/f.u.

---

Record 6
! Pm3Dy2Cd3 PBE relaxed; values from VASP
&SYSTEM
  ibrav = 0, nat = 8, ntyp = 3
/
ATOMIC_SPECIES
Pm 145.00 Pm.upf
Dy 162.50 Dy.upf
Cd 112.41 Cd.upf
CELL_PARAMETERS angstrom
-2.686 -2.588 0.559
-0.242 -0.913 -5.393
9.332 -6.200 3.410
ATOMIC_POSITIONS crystal
Pm 0.376 0.376 0.753
Pm 0.624 0.624 0.247
Pm 0.500 0.000 0.000
Dy 0.735 0.235 0.469
Dy 0.265 0.765 0.531
Cd 0.880 0.880 0.760
Cd 0.000 0.500 0.000
Cd 0.120 0.120 0.240
! * formation energy from the elements: -0.24 eV/atom
! * space group: Immm
! * magnetic moment: 0.03 μB/cell
! * volume: 231.9 Å³/f.u.

---

Record 7
! PmDy4Cd3 PBE relaxed; values from VASP
&SYSTEM
  ibrav = 0, nat = 8, ntyp = 3
/
ATOMIC_SPECIES
Cd 112.41 Cd.upf
Dy 162.50 Dy.upf
Pm 145.00 Pm.upf
CELL_PARAMETERS angstrom
5.126 0.000 1.513
2.340 4.561 1.513
-0.035 -0.022 9.558
ATOMIC_POSITIONS crystal
Cd 0.500 0.500 0.500
Cd 0.741 0.741 0.776
Cd 0.259 0.259 0.224
Dy 0.387 0.387 0.840
Dy 0.130 0.130 0.609
Dy 0.870 0.870 0.391
Dy 0.613 0.613 0.160
Pm 0.000 0.000 0.000
! * formation energy from the elements: -0.16 eV/atom
! * space group: R-3m
! * magnetic moment: 0.95 μB/cell
! * volume: 223.8 Å³/f.u.

---

Record 8
! Pm8Dy5Cd PBE relaxed; values from VASP
&SYSTEM
  ibrav = 0, nat = 14, ntyp = 3
/
ATOMIC_SPECIES
Dy 162.50 Dy.upf
Pm 145.00 Pm.upf
Cd 112.41 Cd.upf
CELL_PARAMETERS angstrom
8.095 0.000 -2.669
-4.093 6.880 -2.927
0.092 0.000 8.523
ATOMIC_POSITIONS crystal
Dy 0.820 0.697 0.716
Dy 0.500 0.000 0.500
Dy 0.284 0.103 0.981
Dy 0.019 0.303 0.122
Dy 0.878 0.897 0.180
Pm 0.652 0.396 0.917
Pm 0.559 0.901 0.836
Pm 0.521 0.604 0.256
Pm 0.164 0.724 0.065
Pm 0.083 0.735 0.479
Pm 0.935 0.099 0.658
Pm 0.342 0.276 0.441
Pm 0.744 0.265 0.348
Cd 0.250 0.500 0.750
! * formation energy from the elements: 0.21 eV/atom
! * space group: I-4
! * magnetic moment: 0.00 μB/cell
! * volume: 476.4 Å³/f.u.

---

Record 9
! Pm2DyCd5 PBE relaxed; values from VASP
&SYSTEM
  ibrav = 0, nat = 8, ntyp = 3
/
ATOMIC_SPECIES
Pm 145.00 Pm.upf
Cd 112.41 Cd.upf
Dy 162.50 Dy.upf
CELL_PARAMETERS angstrom
-0.041 2.396 -4.569
3.654 -3.212 -1.717
-7.238 -4.440 0.650
ATOMIC_POSITIONS crystal
Pm 0.262 0.262 0.524
Pm 0.738 0.738 0.476
Cd 0.615 0.115 0.230
Cd 0.885 0.385 0.770
Cd 0.500 0.500 0.000
Cd 0.385 0.885 0.770
Cd 0.115 0.615 0.230
Dy 0.000 0.000 0.000
! * formation energy from the elements: -0.30 eV/atom
! * space group: I4/mmm
! * magnetic moment: 0.23 μB/cell
! * volume: 204.8 Å³/f.u.

---

Record 10
! PmDy4Cd PBE relaxed; values from VASP
&SYSTEM
  ibrav = 0, nat = 12, ntyp = 3
/
ATOMIC_SPECIES
Dy 162.50 Dy.upf
Pm 145.00 Pm.upf
Cd 112.41 Cd.upf
CELL_PARAMETERS angstrom
-2.139 5.113 -0.355
-2.239 -0.513 6.098
10.012 1.435 3.797
ATOMIC_POSITIONS crystal
Dy 0.137 0.762 0.275
Dy 0.461 0.092 0.922
Dy 0.863 0.262 0.725
Dy 0.747 0.884 0.494
Dy 0.253 0.384 0.506
Dy 0.682 0.411 0.364
Dy 0.318 0.911 0.636
Dy 0.539 0.592 0.078
Pm 0.938 0.770 0.876
Pm 0.062 0.270 0.124
Cd 0.604 0.014 0.207
Cd 0.396 0.514 0.793
! * formation energy from the elements: 0.05 eV/atom
! * space group: Cmc2_1
! * relative energy among the computed polymorphs: 81.4 kJ/mol of formula units
! * magnetic moment: 0.00 μB/cell
! * volume: 188.9 Å³/f.u.

---

Record 11
! PmDyCd PBE relaxed; values from VASP
&SYSTEM
  ibrav = 0, nat = 6, ntyp = 3
/
ATOMIC_SPECIES
Cd 112.41 Cd.upf
Dy 162.50 Dy.upf
Pm 145.00 Pm.upf
CELL_PARAMETERS angstrom
3.524 0.030 -0.325
-0.078 3.463 -0.520
1.310 0.408 14.317
ATOMIC_POSITIONS crystal
Cd 0.060 0.988 0.976
Cd 0.060 0.144 0.288
Dy 0.560 0.415 0.830
Dy 0.060 0.828 0.657
Pm 0.560 0.567 0.133
Pm 0.560 0.720 0.441
! * formation energy from the elements: -0.12 eV/atom
! * space group: Amm2
! * relative energy among the computed polymorphs: 22.6 kJ/mol of formula units
! * magnetic moment: 0.03 μB/cell
! * volume: 88.5 Å³/f.u.

---

Record 12
! Pm2DyCd PBE relaxed; values from VASP
&SYSTEM
  ibrav = 0, nat = 4, ntyp = 3
/
ATOMIC_SPECIES
Pm 145.00 Pm.upf
Cd 112.41 Cd.upf
Dy 162.50 Dy.upf
CELL_PARAMETERS angstrom
-2.078 1.399 2.636
-1.638 -2.202 2.386
7.531 0.347 8.261
ATOMIC_POSITIONS crystal
Pm 0.255 0.255 0.236
Pm 0.079 0.079 0.764
Cd 0.667 0.667 0.000
Dy 0.500 0.500 0.500
! * formation energy from the elements: -0.05 eV/atom
! * space group: R3m
! * relative energy among the computed polymorphs: 39.1 kJ/mol of formula units
! * magnetic moment: 0.00 μB/cell
! * volume: 125.8 Å³/f.u.

---

Record 13
! Pm6Dy3Cd PBE relaxed; values from VASP
&SYSTEM
  ibrav = 0, nat = 20, ntyp = 3
/
ATOMIC_SPECIES
Pm 145.00 Pm.upf
Dy 162.50 Dy.upf
Cd 112.41 Cd.upf
CELL_PARAMETERS angstrom
5.093 0.000 0.000
0.000 11.131 -0.295
0.000 -0.020 11.363
ATOMIC_POSITIONS crystal
Pm 0.250 0.239 0.495
Pm 0.750 0.346 0.299
Pm 0.750 0.761 0.505
Pm 0.750 0.141 0.686
Pm 0.750 0.954 0.105
Pm 0.750 0.551 0.898
Pm 0.250 0.046 0.895
Pm 0.750 0.847 0.809
Pm 0.250 0.449 0.102
Pm 0.250 0.859 0.314
Pm 0.250 0.153 0.191
Pm 0.250 0.654 0.701
Dy 0.750 0.248 0.992
Dy 0.750 0.449 0.599
Dy 0.250 0.752 0.008
Dy 0.250 0.348 0.793
Dy 0.250 0.551 0.401
Dy 0.750 0.652 0.207
Cd 0.750 0.051 0.396
Cd 0.250 0.949 0.604
! * formation energy from the elements: -0.02 eV/atom
! * space group: P2_1/m
! * magnetic moment: 0.00 μB/cell
! * volume: 322.1 Å³/f.u.

---

Record 14
! Pm2Dy6Cd PBE relaxed; values from VASP
&SYSTEM
  ibrav = 0, nat = 18, ntyp = 3
/
ATOMIC_SPECIES
Dy 162.50 Dy.upf
Cd 112.41 Cd.upf
Pm 145.00 Pm.upf
CELL_PARAMETERS angstrom
5.445 0.000 0.248
0.000 9.935 0.000
-0.469 0.000 10.264
ATOMIC_POSITIONS crystal
Dy 0.000 0.978 0.821
Dy 0.000 0.636 0.890
Dy 0.500 0.478 0.679
Dy 0.500 0.179 0.936
Dy 0.000 0.364 0.110
Dy 0.500 0.864 0.390
Dy 0.500 0.821 0.064
Dy 0.500 0.522 0.321
Dy 0.000 0.679 0.564
Dy 0.500 0.136 0.610
Dy 0.000 0.022 0.179
Dy 0.000 0.321 0.436
Cd 0.500 0.500 0.000
Cd 0.000 0.000 0.500
Pm 0.000 0.304 0.762
Pm 0.500 0.804 0.738
Pm 0.500 0.196 0.262
Pm 0.000 0.696 0.238
! * formation energy from the elements: 0.01 eV/atom
! * space group: Pnnm
! * magnetic moment: 0.00 μB/cell
! * volume: 278.2 Å³/f.u.

---

Record 15
! Pm2Dy2Cd3 PBE relaxed; values from VASP
&SYSTEM
  ibrav = 0, nat = 14, ntyp = 3
/
ATOMIC_SPECIES
Cd 112.41 Cd.upf
Pm 145.00 Pm.upf
Dy 162.50 Dy.upf
CELL_PARAMETERS angstrom
7.653 0.000 -2.706
-3.827 6.628 -2.706
0.000 0.000 8.118
ATOMIC_POSITIONS crystal
Cd 0.889 0.250 0.639
Cd 0.361 0.111 0.750
Cd 0.139 0.389 0.250
Cd 0.750 0.639 0.389
Cd 0.611 0.750 0.861
Cd 0.250 0.861 0.111
Pm 0.500 0.340 0.500
Pm 0.840 0.500 0.000
Pm 0.660 0.160 0.160
Pm 0.000 0.000 0.340
Dy 0.360 0.500 0.000
Dy 0.140 0.640 0.640
Dy 0.000 0.000 0.860
Dy 0.500 0.860 0.500
! * formation energy from the elements: -0.11 eV/atom
! * space group: I2_13
! * magnetic moment: 0.00 μB/cell
! * volume: 205.9 Å³/f.u.

---

Record 16
! PmDyCd2 PBE relaxed; values from VASP
&SYSTEM
  ibrav = 0, nat = 4, ntyp = 3
/
ATOMIC_SPECIES
Cd 112.41 Cd.upf
Pm 145.00 Pm.upf
Dy 162.50 Dy.upf
CELL_PARAMETERS angstrom
5.359 0.000 0.000
2.680 4.641 0.000
2.680 1.547 4.376
ATOMIC_POSITIONS crystal
Cd 0.750 0.750 0.750
Cd 0.250 0.250 0.250
Pm 0.500 0.500 0.500
Dy 0.000 0.000 0.000
! * formation energy from the elements: -0.32 eV/atom
! * space group: Fm-3m
! * relative energy among the computed polymorphs: 0.0 kJ/mol of formula units
! * magnetic moment: 0.61 μB/cell
! * volume: 108.8 Å³/f.u.

---

Record 17
! Pm3Dy2Cd2 PBE relaxed; values from VASP
&SYSTEM
  ibrav = 0, nat = 7, ntyp = 3
/
ATOMIC_SPECIES
Dy 162.50 Dy.upf
Cd 112.41 Cd.upf
Pm 145.00 Pm.upf
CELL_PARAMETERS angstrom
-2.610 -0.231 -4.387
-2.540 -1.795 1.606
-6.655 9.831 0.464
ATOMIC_POSITIONS crystal
Dy 0.710 0.500 0.579
Dy 0.290 0.500 0.421
Cd 0.431 0.500 0.138
Cd 0.569 0.500 0.862
Pm 0.855 0.000 0.290
Pm 0.145 0.000 0.710
Pm 0.000 0.000 0.000
! * formation energy from the elements: -0.06 eV/atom
! * space group: Cmmm
! * relative energy among the computed polymorphs: 66.5 kJ/mol of formula units
! * magnetic moment: 0.40 μB/cell
! * volume: 207.5 Å³/f.u.

---

Record 18
! PmDyCd5 PBE relaxed; values from VASP
&SYSTEM
  ibrav = 0, nat = 7, ntyp = 3
/
ATOMIC_SPECIES
Cd 112.41 Cd.upf
Dy 162.50 Dy.upf
Pm 145.00 Pm.upf
CELL_PARAMETERS angstrom
5.193 0.000 0.000
0.000 5.193 0.000
0.000 0.000 6.898
ATOMIC_POSITIONS crystal
Cd 0.500 0.000 0.229
Cd 0.000 0.500 0.771
Cd 0.500 0.500 0.500
Cd 0.000 0.500 0.229
Cd 0.500 0.000 0.771
Dy 0.500 0.500 0.000
Pm 0.000 0.000 0.500
! * formation energy from the elements: -0.12 eV/atom
! * space group: P4/mmm
! * magnetic moment: 0.00 μB/cell
! * volume: 186.0 Å³/f.u.

---

Record 19
! Pm2Dy8Cd PBE relaxed; values from VASP
&SYSTEM
  ibrav = 0, nat = 11, ntyp = 3
/
ATOMIC_SPECIES
Dy 162.50 Dy.upf
Pm 145.00 Pm.upf
Cd 112.41 Cd.upf
CELL_PARAMETERS angstrom
-2.885 -3.956 0.934
3.814 -1.177 6.796
-5.407 7.446 1.537
ATOMIC_POSITIONS crystal
Dy 0.866 0.825 0.732
Dy 0.320 0.090 0.639
Dy 0.680 0.910 0.361
Dy 0.045 0.722 0.090
Dy 0.411 0.555 0.823
Dy 0.134 0.175 0.268
Dy 0.589 0.445 0.177
Dy 0.955 0.278 0.910
Pm 0.223 0.637 0.447
Pm 0.777 0.363 0.553
Cd 0.500 0.000 0.000
! * formation energy from the elements: -0.01 eV/atom
! * space group: C2/m
! * magnetic moment: 0.00 μB/cell
! * volume: 340.3 Å³/f.u.

---

Record 20
! Pm5Dy8Cd PBE relaxed; values from VASP
&SYSTEM
  ibrav = 0, nat = 14, ntyp = 3
/
ATOMIC_SPECIES
Dy 162.50 Dy.upf
Pm 145.00 Pm.upf
Cd 112.41 Cd.upf
CELL_PARAMETERS angstrom
0.805 3.169 -7.771
1.952 -8.202 0.054
-8.005 1.140 2.388
ATOMIC_POSITIONS crystal
Dy 0.169 0.725 0.066
Dy 0.341 0.275 0.445
Dy 0.555 0.896 0.831
Dy 0.934 0.104 0.659
Dy 0.524 0.605 0.265
Dy 0.661 0.395 0.919
Dy 0.735 0.258 0.339
Dy 0.081 0.742 0.476
Pm 0.820 0.689 0.709
Pm 0.291 0.111 0.980
Pm 0.020 0.311 0.130
Pm 0.870 0.889 0.180
Pm 0.500 0.000 0.500
Cd 0.250 0.500 0.750
! * formation energy from the elements: 0.19 eV/atom
! * space group: I-4
! * magnetic moment: 0.00 μB/cell
! * volume: 460.9 Å³/f.u.

---

In the order shown, the computed DOS(E_F) values come out to 20.78; 17.75; 5.19; 3.75; 27.80; 10.90; 9.48; 20.46; 5.20; 16.70; 8.05; 5.05; 28.45; 28.56; 19.30; 4.21; 8.22; 4.15; 15.48; 16.77 states/eV per cell.